Density functional theory data (PBE-GGA) for a geometry-optimized PmY2Th3As6 structure.

Lattice parameters (Å, degrees): 7.3165 12.6524 7.2576 90.00 109.62 90.00
Last column: nearest neighbours and their distance in Å.
Space group C2/m (No. 12)
Asymmetric unit:
Pm (0.0000, 0.0000, 0.0000) [2 per cell]  6 As 2.98
Y (0.0000, 0.3330, 0.0000) [4 per cell]  6 As 2.95
Th (0.0000, 0.1657, 0.5000) [4 per cell]  6 As 2.98-3.01
Th (0.0000, 0.5000, 0.5000) [2 per cell]  6 As 2.97-3.00
As (0.2443, 0.5000, 0.2448) [4 per cell]  2 Y 2.95, 3 Th 2.97-3.00, 1 Pm 2.98
As (0.2495, 0.3314, 0.7541) [8 per cell]  2 Y 2.95, 3 Th 2.98-3.01, 1 Pm 2.98

Properties
V   26.368 Å³ per atom
Energy of formation from the pure elements   -1.479 eV per atom
N(E_F)   10.55 states/eV per cell
Uncorrected energy   -7.13 eV per atom
Calculated density   7.7 g/cm3